# 1
Computed, not measured: crystalline ZrCr2Ge at its relaxed geometry at the GGA-PBE level of DFT.

a = 7.2117 Å, b = 7.2117 Å, c = 5.4916 Å
α = 90.00°, β = 90.00°, γ = 90.00°
Closest atoms and distances in Å follow each position.
Space group I-42d (No. 122)
Unique sites:
Zr  0.0000  0.0000  0.0000 [4 per cell]  2 Ge 2.75, 4 Cr 2.87
Cr  0.2059  0.7500  0.6250 [8 per cell]  2 Ge 2.43
Ge  0.0000  0.0000  0.5000 [4 per cell]  4 Cr 2.43

Computed properties:
ΔE_f ... 201 kJ/mol of formula units

=====

# 2
Computed, not measured: crystalline Cr4H at its relaxed geometry at the GGA-PBE level of DFT.

a = 3.6678 Å, b = 3.6678 Å, c = 3.6678 Å
α = 90.00°, β = 90.00°, γ = 90.00°
Closest atoms and distances in Å follow each position.
Space group Pm-3m (No. 221)
Unique sites:
Cr  0.0000  0.0000  0.0000 [1 per cell]  12 Cr 2.59
Cr  0.0000  0.5000  0.5000 [3 per cell]  2 H 1.83
H  0.5000  0.5000  0.5000 [1 per cell]  6 Cr 1.83

=====

# 3
Computed, not measured: crystalline Cr3H at its relaxed geometry at the GGA-PBE level of DFT.

a = 2.3496 Å, b = 2.3764 Å, c = 6.9167 Å
α = 90.00°, β = 90.00°, γ = 90.00°
Closest atoms and distances in Å follow each position.
Space group Pmm2 (No. 25)
Unique sites:
Cr  0.0000  0.0000  0.0000 [1 per cell]  6 Cr 2.35-2.57
Cr  0.0000  0.5000  0.3287 [1 per cell]  4 H 1.95
Cr  0.5000  0.5000  0.6899 [1 per cell]  2 H 1.92
H  0.5000  0.0000  0.4726 [1 per cell]  6 Cr 1.92-1.95

Computed properties:
Polymorph energy (0 for the lowest one) ... 130.0 meV/atom

=====

# 4
Computed, not measured: crystalline CrH3 at its relaxed geometry at the GGA-PBE level of DFT.

a = 2.4625 Å, b = 2.4625 Å, c = 9.3988 Å
α = 90.00°, β = 90.00°, γ = 90.00°
Closest atoms and distances in Å follow each position.
Space group I4/mmm (No. 139)
Unique sites:
Cr  0.0000  0.0000  0.0000 [2 per cell]  6 H 1.67-1.74
H  0.0000  0.0000  0.1774 [4 per cell]  1 Cr 1.67
H  0.0000  0.0000  0.5000 [2 per cell]  4 Cr 1.74

=====

no.,energy (eV/atom)
1,-7.581
2,-8.129
3,-7.617
4,-4.262